The following is a DFT calculation (PBE) of a relaxed GeOsPb2 crystal.

## Properties
Raw total energy   -4.742 eV per atom
Calculated formation energy   1074 meV/atom

a b c (Å): 7.8332 7.8332 7.8332
angles (deg): 132.94 132.94 68.75
Closest atoms and distances in Å follow each position.
Atoms (fractional coordinates):
Ge 0.0000 0.0000 0.0000  4 Pb 2.83
Ge 0.7500 0.2500 0.5000  4 Pb 2.83
Os 0.2500 0.7500 0.5000  4 Pb 2.66
Os 0.5000 0.5000 0.0000  4 Pb 2.66
Pb 0.1490 0.6250 0.0240  2 Os 2.66, 2 Ge 2.83
Pb 0.3750 0.3990 0.5240  2 Os 2.66, 2 Ge 2.83
Pb 0.6010 0.1250 0.9760  2 Os 2.66, 2 Ge 2.83
Pb 0.8750 0.8510 0.4760  2 Os 2.66, 2 Ge 2.83

---

The following is a DFT calculation (PBE) of a relaxed FePt2Au crystal.

## Properties
Raw total energy   -5.978 eV per atom
ΔE to the lowest computed polymorph   119 meV per atom
Calculated formation energy   -22 meV/atom

a b c (Å): 4.8361 2.8292 4.8429
angles (deg): 90.00 109.89 90.00
Closest atoms and distances in Å follow each position.
Atoms (fractional coordinates):
Fe 0.0000 0.0000 0.0000  6 Pt 2.78-2.80, 4 Au 2.80, 2 Fe 2.83
Pt 0.5000 0.0000 0.5000  2 Fe 2.78, 4 Au 2.80, 6 Pt 2.80-2.83
Pt 0.5000 0.5000 0.0000  2 Au 2.78, 4 Fe 2.80, 6 Pt 2.80-2.83
Au 0.0000 0.5000 0.5000  6 Pt 2.78-2.80, 4 Fe 2.80, 2 Au 2.83

---

The following is a DFT calculation (PBE) of a relaxed GdTmPtPb crystal.

## Properties
Raw total energy   -7.812 eV per atom
Calculated formation energy   -736 meV/atom

a b c (Å): 5.1786 5.1786 5.1786
angles (deg): 60.00 60.00 60.00
Closest atoms and distances in Å follow each position.
Atoms (fractional coordinates):
Gd 0.0000 0.0000 0.0000  4 Pt 3.17, 4 Pb 3.17
Tm 0.5000 0.5000 0.5000  4 Pt 3.17, 4 Pb 3.17
Pt 0.7500 0.7500 0.7500  4 Tm 3.17, 4 Gd 3.17
Pb 0.2500 0.2500 0.2500  4 Tm 3.17, 4 Gd 3.17

---

The following is a DFT calculation (PBE) of a relaxed Cr2CuMo crystal.

## Properties
Raw total energy   -8.275 eV per atom
ΔE to the lowest computed polymorph   75 meV per atom
Calculated formation energy   268 meV/atom

a b c (Å): 2.5069 4.2219 4.9360
angles (deg): 90.00 98.35 90.00
Closest atoms and distances in Å follow each position.
Atoms (fractional coordinates):
Cr 0.2107 0.0000 0.2379  3 Cr 2.43-2.51, 2 Mo 2.57, 2 Cu 2.57
Cr 0.7893 0.0000 0.7621  3 Cr 2.43-2.51, 2 Mo 2.57, 2 Cu 2.57
Cu 0.5000 0.5000 0.0000  2 Cu 2.51, 4 Cr 2.57, 2 Mo 2.60
Mo 0.0000 0.5000 0.5000  2 Mo 2.51, 4 Cr 2.57, 2 Cu 2.60

---

The following is a DFT calculation (PBE) of a relaxed RbPuGa2Sb2 crystal.

## Properties
Raw total energy   -5.279 eV per atom

a b c (Å): 4.3942 4.3942 10.7831
angles (deg): 90.00 90.00 120.00
Closest atoms and distances in Å follow each position.
Atoms (fractional coordinates):
Rb 0.0000 0.0000 0.0000  6 Sb 3.72
Pu 0.0000 0.0000 0.5000  6 Ga 2.97
Ga 0.3333 0.6667 0.6427  3 Sb 2.78, 3 Pu 2.97
Ga 0.6667 0.3333 0.3573  3 Sb 2.78, 3 Pu 2.97
Sb 0.3333 0.6667 0.2528  3 Ga 2.78
Sb 0.6667 0.3333 0.7472  3 Ga 2.78

---

The following is a DFT calculation (PBE) of a relaxed CsRb2PbF6 crystal.

## Properties
Raw total energy   -4.205 eV per atom

a b c (Å): 7.1322 7.1322 7.1322
angles (deg): 60.00 60.00 60.00
Closest atoms and distances in Å follow each position.
Atoms (fractional coordinates):
Cs 0.0000 0.0000 0.0000  6 F 2.78
Rb 0.2500 0.2500 0.2500  12 F 3.58
Rb 0.7500 0.7500 0.7500  12 F 3.58
Pb 0.5000 0.5000 0.5000  6 F 2.26
F 0.2759 0.2759 0.7241  1 Pb 2.26
F 0.2759 0.7241 0.2759  1 Pb 2.26
F 0.2759 0.7241 0.7241  1 Pb 2.26
F 0.7241 0.2759 0.2759  1 Pb 2.26
F 0.7241 0.2759 0.7241  1 Pb 2.26
F 0.7241 0.7241 0.2759  1 Pb 2.26

---

The following is a DFT calculation (PBE) of a relaxed U2Hg2PdS6 crystal.

## Properties
Raw total energy   -5.581 eV per atom

a b c (Å): 6.6224 6.6224 9.3838
angles (deg): 95.92 95.92 122.17
Closest atoms and distances in Å follow each position.
Atoms (fractional coordinates):
U 0.1635 0.8365 0.0000  6 S 2.55-2.59
U 0.8365 0.1635 0.0000  6 S 2.55-2.59
Hg 0.3419 0.6581 0.5000  3 Hg 3.66-3.85, 6 S 3.78-3.85
Hg 0.6581 0.3419 0.5000  3 Hg 3.66-3.85, 6 S 3.78-3.85
Pd 0.5000 0.5000 0.0000  6 S 2.52-2.77
S 0.0967 0.4547 0.8403  2 U 2.55-2.59, 1 Pd 2.77
S 0.2188 0.2188 0.1515  1 Pd 2.52, 2 U 2.59
S 0.4547 0.0967 0.8403  2 U 2.55-2.59, 1 Pd 2.77
S 0.5453 0.9033 0.1597  2 U 2.55-2.59, 1 Pd 2.77
S 0.7812 0.7812 0.8485  1 Pd 2.52, 2 U 2.59
S 0.9033 0.5453 0.1597  2 U 2.55-2.59, 1 Pd 2.77

---

The following is a DFT calculation (PBE) of a relaxed LaMoSe2 crystal.

## Properties
Raw total energy   -6.339 eV per atom
ΔE to the lowest computed polymorph   220 meV per atom

a b c (Å): 4.1455 4.1455 5.8101
angles (deg): 90.00 90.00 90.00
Closest atoms and distances in Å follow each position.
Atoms (fractional coordinates):
La 0.0000 0.0000 0.0000  6 Se 2.91-2.93
Mo 0.5000 0.5000 0.5000  6 Se 2.91-2.93
Se 0.0000 0.0000 0.5000  2 La 2.91, 4 Mo 2.93
Se 0.5000 0.5000 0.0000  2 Mo 2.91, 4 La 2.93

---

The following is a DFT calculation (PBE) of a relaxed PaNbTe6 crystal.

## Properties
Raw total energy   -5.102 eV per atom

a b c (Å): 5.8582 6.5186 7.2128
angles (deg): 107.58 112.16 93.80
Closest atoms and distances in Å follow each position.
Atoms (fractional coordinates):
Pa 0.0000 0.0000 0.0000  8 Te 3.03-3.35
Nb 0.0000 0.5000 0.5000  6 Te 2.74-2.81
Te 0.1686 0.6262 0.2310  1 Nb 2.78, 1 Te 3.00
Te 0.2514 0.1602 0.4838  1 Nb 2.74, 1 Pa 3.03
Te 0.4281 0.7407 0.8776  1 Nb 2.81
Te 0.5719 0.2593 0.1224  1 Nb 2.81
Te 0.7486 0.8398 0.5162  1 Nb 2.74, 1 Pa 3.03
Te 0.8314 0.3738 0.7690  1 Nb 2.78, 1 Te 3.00

---

The following is a DFT calculation (PBE) of a relaxed Ta2NiRh crystal.

## Properties
Raw total energy   -9.381 eV per atom
Calculated formation energy   -171 meV/atom

a b c (Å): 5.4200 5.4200 5.4200
angles (deg): 149.14 129.97 59.95
Closest atoms and distances in Å follow each position.
Atoms (fractional coordinates):
Ta 0.0000 0.0000 0.0000  2 Ni 2.67, 4 Rh 2.72, 4 Ta 2.88-2.90
Ta 0.7319 0.2319 0.5000  4 Ni 2.71, 2 Rh 2.82, 4 Ta 2.88-2.90
Ni 0.2398 0.7398 0.5000  2 Rh 2.63, 6 Ta 2.67-2.71, 2 Ni 2.88
Rh 0.4740 0.4740 0.0000  2 Ni 2.63, 6 Ta 2.72-2.82, 2 Rh 2.88

---

The following is a DFT calculation (PBE) of a relaxed YSi2Ir2 crystal.

## Properties
Raw total energy   -7.548 eV per atom

a b c (Å): 7.4572 7.4572 2.8220
angles (deg): 90.00 90.00 90.00
Closest atoms and distances in Å follow each position.
Atoms (fractional coordinates):
Y 0.0000 0.0000 0.0000  2 Y 2.82, 4 Si 2.86
Y 0.5000 0.5000 0.0000  2 Y 2.82, 4 Si 2.86
Si 0.1439 0.3561 0.0000  6 Ir 2.57-2.64, 2 Si 2.82, 2 Y 2.86
Si 0.3561 0.8561 0.0000  6 Ir 2.57-2.64, 2 Si 2.82, 2 Y 2.86
Si 0.6439 0.1439 0.0000  6 Ir 2.57-2.64, 2 Si 2.82, 2 Y 2.86
Si 0.8561 0.6439 0.0000  6 Ir 2.57-2.64, 2 Si 2.82, 2 Y 2.86
Ir 0.1442 0.6442 0.5000  6 Si 2.57-2.64, 2 Ir 2.82
Ir 0.3558 0.1442 0.5000  6 Si 2.57-2.64, 2 Ir 2.82
Ir 0.6442 0.8558 0.5000  6 Si 2.57-2.64, 2 Ir 2.82
Ir 0.8558 0.3558 0.5000  6 Si 2.57-2.64, 2 Ir 2.82

---

The following is a DFT calculation (PBE) of a relaxed CsMnP2 crystal.

## Properties
Raw total energy   -5.597 eV per atom
Calculated formation energy   -386 meV/atom

a b c (Å): 6.7946 6.7946 6.7946
angles (deg): 120.11 120.11 89.80
Closest atoms and distances in Å follow each position.
Atoms (fractional coordinates):
Cs 0.3750 0.6250 0.7500  12 P 3.98-3.99, 4 Mn 4.16, 4 Cs 4.16
Cs 0.6250 0.3750 0.2500  12 P 3.98-3.99, 4 Mn 4.16, 4 Cs 4.16
Mn 0.1250 0.8750 0.2500  4 P 2.08
Mn 0.8750 0.1250 0.7500  4 P 2.08
P 0.0000 0.0000 0.0000  2 Mn 2.08
P 0.0000 0.0000 0.5000  2 Mn 2.08
P 0.0000 0.5000 0.0000  2 Mn 2.08
P 0.5000 0.0000 0.5000  2 Mn 2.08

---

The following is a DFT calculation (PBE) of a relaxed Ca2ZrGaAs crystal.

## Properties
Raw total energy   -3.968 eV per atom
Calculated formation energy   77 meV/atom

a b c (Å): 5.3738 5.3738 5.1493
angles (deg): 90.00 90.00 90.00
Closest atoms and distances in Å follow each position.
Atoms (fractional coordinates):
Ca 0.0000 0.5000 0.0000  2 Ga 2.69
Ca 0.5000 0.0000 0.0000  2 Ga 2.69
Zr 0.0000 0.0000 0.5000  2 Ga 2.57
Ga 0.0000 0.0000 0.0000  2 Zr 2.57, 4 Ca 2.69
As 0.5000 0.5000 0.5000  8 Ca 3.72, 4 Zr 3.80